A geometry-optimized NaTl6Pd6 structure, computed with PBE.

abc: 5.7561 7.4335 7.4335
angles: 78.46 67.22 67.22
Closest atoms and distances in Å follow each position.
Sites, in units of the cell vectors:
Tl  0.3328  0.6672  0.6672  6 Pd 2.88-2.90
Tl  0.3327  0.1673  0.1673  6 Pd 2.86-2.88
Pd  0.0000  0.0000  0.5000  6 Tl 2.88-2.96, 4 Pd 2.88
Na  0.0000  0.0000  0.0000  8 Tl 3.05-3.33
Tl  0.6672  0.3328  0.3328  6 Pd 2.88-2.90
Tl  0.6673  0.8327  0.8327  6 Pd 2.86-2.88
Tl  0.0000  0.3245  0.6755  6 Pd 2.96-2.97, 1 Na 3.05, 1 Tl 3.30
Pd  0.0000  0.5000  0.0000  6 Tl 2.88-2.96, 4 Pd 2.88
Pd  0.5000  0.7524  0.2476  6 Tl 2.86-2.97, 4 Pd 2.88
Pd  0.5000  0.5000  0.0000  6 Tl 2.88-2.96, 4 Pd 2.88
Pd  0.5000  0.0000  0.5000  6 Tl 2.88-2.96, 4 Pd 2.88
Pd  0.5000  0.2476  0.7524  6 Tl 2.86-2.97, 4 Pd 2.88
Tl  0.0000  0.6755  0.3245  6 Pd 2.96-2.97, 1 Na 3.05, 1 Tl 3.30

Properties
Space-group type: Immm
Formation enthalpy at 0 K, eV/f.u.: -2.7
Calculated volume, Å³/f.u.: 269.9
VASP energy, eV/atom: -3.798
Density, g/cm³: 11.6


A geometry-optimized NaTl12Pd7 structure, computed with PBE.

abc: 8.6985 8.6985 8.6985
angles: 111.04 111.04 111.04
Closest atoms and distances in Å follow each position.
Sites, in units of the cell vectors:
Tl  0.0000  0.2514  0.7487  4 Pd 2.86-2.92
Pd  0.1593  0.1593  0.5104  7 Tl 2.85-2.93, 1 Pd 3.03
Tl  0.0000  0.7486  0.2513  4 Pd 2.86-2.92
Tl  0.5351  0.5351  0.8517  4 Pd 2.85-2.93, 1 Tl 3.07
Pd  0.5000  0.5000  0.5000  6 Tl 2.85
Pd  0.5104  0.1593  0.1593  7 Tl 2.85-2.93, 1 Pd 3.03
Tl  0.4649  0.4649  0.1483  4 Pd 2.85-2.93, 1 Tl 3.07
Na  0.0000  0.0000  0.0000  12 Tl 3.60-3.89, 8 Pd 3.65-4.00
Tl  0.5351  0.8517  0.5351  4 Pd 2.85-2.93, 1 Tl 3.07
Pd  0.8407  0.4896  0.8407  7 Tl 2.85-2.93, 1 Pd 3.03
Tl  0.2513  0.0000  0.7486  4 Pd 2.86-2.92
Tl  0.4649  0.1483  0.4649  4 Pd 2.85-2.93, 1 Tl 3.07
Pd  0.1593  0.5104  0.1593  7 Tl 2.85-2.93, 1 Pd 3.03
Tl  0.1483  0.4649  0.4649  4 Pd 2.85-2.93, 1 Tl 3.07
Tl  0.7487  0.0000  0.2514  4 Pd 2.86-2.92
Pd  0.8407  0.8407  0.4896  7 Tl 2.85-2.93, 1 Pd 3.03
Tl  0.7486  0.2513  0.0000  4 Pd 2.86-2.92
Pd  0.4896  0.8407  0.8407  7 Tl 2.85-2.93, 1 Pd 3.03
Tl  0.2514  0.7487  0.0000  4 Pd 2.86-2.92
Tl  0.8517  0.5351  0.5351  4 Pd 2.85-2.93, 1 Tl 3.07

Properties
Space-group type: R-3m
Formation enthalpy at 0 K, eV/f.u.: -2.1
Calculated volume, Å³/f.u.: 474.9
VASP energy, eV/atom: -3.406
Density, g/cm³: 11.3


A geometry-optimized NaTlPd4 structure, computed with PBE.

abc: 4.1253 6.9277 7.9370
angles: 90.00 90.00 90.00
Closest atoms and distances in Å follow each position.
Sites, in units of the cell vectors:
Tl  0.0000  0.7221  0.2500  8 Pd 2.75-2.93, 1 Na 2.85
Pd  0.5000  0.7048  0.4795  2 Tl 2.75, 5 Pd 2.85-2.91, 2 Na 2.98
Na  0.0000  0.6895  0.7500  1 Tl 2.85, 8 Pd 2.87-2.98
Tl  0.0000  0.2779  0.7500  8 Pd 2.75-2.93, 1 Na 2.85
Pd  0.0000  0.0000  0.0000  2 Tl 2.76, 8 Pd 2.87-2.91, 2 Na 2.93
Na  0.0000  0.3105  0.2500  1 Tl 2.85, 8 Pd 2.87-2.98
Pd  0.5000  0.2952  0.9795  2 Tl 2.75, 5 Pd 2.85-2.91, 2 Na 2.98
Pd  0.5000  0.9783  0.7500  8 Pd 2.85-2.87, 2 Na 2.87, 2 Tl 2.93
Pd  0.5000  0.7048  0.0205  2 Tl 2.75, 5 Pd 2.85-2.91, 2 Na 2.98
Pd  0.5000  0.2952  0.5205  2 Tl 2.75, 5 Pd 2.85-2.91, 2 Na 2.98
Pd  0.0000  0.0000  0.5000  2 Tl 2.76, 8 Pd 2.87-2.91, 2 Na 2.93
Pd  0.5000  0.0217  0.2500  8 Pd 2.85-2.87, 2 Na 2.87, 2 Tl 2.93

Properties
Space-group type: Pmma
Formation enthalpy at 0 K, eV/f.u.: -0.2
Calculated volume, Å³/f.u.: 113.4
VASP energy, eV/atom: -4.103
Density, g/cm³: 9.6


A geometry-optimized Na2Tl2Pd structure, computed with PBE.

abc: 5.9876 7.6945 11.9254
angles: 99.22 90.00 90.00
Closest atoms and distances in Å follow each position.
Sites, in units of the cell vectors:
Tl  0.2520  0.1742  0.1948  2 Pd 2.82-2.83
Na  0.7493  0.6313  0.0271  4 Tl 3.24-3.59, 4 Na 3.60-3.62
Na  0.2507  0.3687  0.9729  4 Tl 3.24-3.59, 4 Na 3.60-3.62
Pd  0.2500  0.4679  0.3705  6 Tl 2.82-2.88, 2 Na 3.13-3.14
Na  0.7499  0.4477  0.2915  2 Pd 3.13-3.14, 4 Tl 3.43-3.49
Na  0.2499  0.0523  0.7085  2 Pd 3.13-3.14, 4 Tl 3.43-3.49
Na  0.2493  0.8687  0.9729  4 Tl 3.24-3.59, 4 Na 3.60-3.62
Na  0.7507  0.1313  0.0271  4 Tl 3.24-3.59, 4 Na 3.60-3.62
Tl  0.7480  0.8258  0.8052  2 Pd 2.82-2.83
Tl  0.4969  0.2505  0.5020  4 Pd 2.87-2.88, 2 Tl 2.99
Tl  0.5031  0.7495  0.4980  4 Pd 2.87-2.88, 2 Tl 2.99
Tl  0.0031  0.7505  0.5020  4 Pd 2.87-2.88, 2 Tl 2.99
Na  0.7501  0.9477  0.2915  2 Pd 3.13-3.14, 4 Tl 3.43-3.49
Pd  0.7500  0.0321  0.6295  6 Tl 2.82-2.88, 2 Na 3.13-3.14
Pd  0.2500  0.9679  0.3705  6 Tl 2.82-2.88, 2 Na 3.13-3.14
Na  0.2501  0.5523  0.7085  2 Pd 3.13-3.14, 4 Tl 3.43-3.49
Tl  0.9969  0.2495  0.4980  4 Pd 2.87-2.88, 2 Tl 2.99
Pd  0.7500  0.5321  0.6295  6 Tl 2.82-2.88, 2 Na 3.13-3.14
Tl  0.2480  0.6742  0.1948  2 Pd 2.82-2.83
Tl  0.7520  0.3258  0.8052  2 Pd 2.82-2.83

Properties
Space-group type: P2_1/c
Formation enthalpy at 0 K, eV/f.u.: -0.5
Calculated volume, Å³/f.u.: 135.6
VASP energy, eV/atom: -2.622
Density, g/cm³: 6.9